No. 1
Here is an optimized crystal structure of Nd2TeS2 from the Alexandria database. Energies are from PBEsol.

a = 4.5956 Å, b = 4.5956 Å, c = 7.6306 Å
α = 90.00°, β = 90.00°, γ = 120.00°
Closest atoms and distances in Å follow each position.
Space group P-3m1 (No. 164)
Symmetry-distinct sites (fractional):
Nd  0.3333  0.6667  0.2661  4 S 2.76-2.82
Te  0.0000  0.0000  0.0000  6 Nd 3.34
S  0.3333  0.6667  0.6358  4 Nd 2.76-2.82

Output
Energy relative to the elements, uncorrected   -9.45 eV per formula unit

=====

No. 2
Here is an optimized crystal structure of Y5Zn from the Alexandria database. Energies are from PBEsol.

a = 3.5153 Å, b = 3.5153 Å, c = 13.4995 Å
α = 90.00°, β = 90.00°, γ = 90.00°
Closest atoms and distances in Å follow each position.
Space group P4/mmm (No. 123)
Symmetry-distinct sites (fractional):
Y  0.0000  0.0000  0.0000  12 Y 3.50-3.52
Y  0.0000  0.0000  0.3710  4 Zn 3.04
Y  0.5000  0.5000  0.1826  12 Y 3.50-3.56
Zn  0.5000  0.5000  0.5000  8 Y 3.04

Output
Polymorph energy (0 for the lowest one)   0 meV/atom

=====

no.,DOS(E_F) (states/eV/f.u.),magnetic moment (μB per formula unit)
1,0.00,0.00
2,7.16,0.00